ReBPC PBE optimized geometry; E_form = 252 meV per atom; polymorph energy (0 for the lowest one) = 140.8 meV/atom
1.0
2.8796 0.0000 0.0000
0.0000 2.9099 0.0000
0.0000 0.0000 5.4220
Re B P C
1 1 1 1
direct
0.0000 0.0000 0.0000 Re
0.5000 0.5000 0.8241 B
0.0000 0.5000 0.3496 P
0.5000 0.5000 0.5394 C